[1]
# Zr2Zn2Si | Alexandria via LeMat-Bulk | GGA-PBE | relaxed
# total moment	0.00	μB per cell
# formation energy from raw total energies	-0.38	eV per formula unit
# DOS(E_F)	6.15	states/eV/cell
# energy above the lowest structure with this stoichiometry	0.223	eV/atom
data_Zr2Zn2Si
_space_group_name_H-M_alt 'P 4/m b m'
_space_group_IT_number 127
_space_group_name_Hall '-P 4 2ab'
_cell_length_a 6.9787
_cell_length_b 6.9787
_cell_length_c 4.1521
_cell_angle_alpha 90.00
_cell_angle_beta 90.00
_cell_angle_gamma 90.00
loop_
_atom_site_label
_atom_site_type_symbol
_atom_site_fract_x
_atom_site_fract_y
_atom_site_fract_z
_atom_site_occupancy
Zr1 Zr 0.1597 0.3403 0.0000 1
Zn1 Zn 0.1395 0.6395 0.5000 1
Si1 Si 0.0000 0.0000 0.0000 1

***

[2]
# Ac6GaPb3 | Alexandria via LeMat-Bulk | GGA-PBE | relaxed
# total moment	0.00	μB per cell
# DOS(E_F)	18.11	states/eV/cell
# formation energy	-373	meV per atom
data_Ac6GaPb3
_space_group_name_H-M_alt 'P 1 21/m 1'
_space_group_IT_number 11
_cell_length_a 12.0563
_cell_length_b 4.8249
_cell_length_c 14.6255
_cell_angle_alpha 90.00
_cell_angle_beta 112.23
_cell_angle_gamma 90.00
loop_
_space_group_symop_operation_xyz
'x,y,z'
'-x,-y,-z'
'-x,y+1/2,-z'
'x,-y+1/2,z'
loop_
_atom_site_label
_atom_site_type_symbol
_atom_site_fract_x
_atom_site_fract_y
_atom_site_fract_z
_atom_site_occupancy
Ac1 Ac 0.0218 0.2500 0.3669 1
Ac2 Ac 0.0788 0.2500 0.8976 1
Ac3 Ac 0.2539 0.7500 0.3348 1
Ac4 Ac 0.3401 0.7500 0.1173 1
Ac5 Ac 0.3487 0.7500 0.7853 1
Ac6 Ac 0.4049 0.2500 0.5659 1
Ga1 Ga 0.4217 0.2500 0.2974 1
Pb1 Pb 0.1391 0.2500 0.1508 1
Pb2 Pb 0.1875 0.7500 0.5367 1
Pb3 Pb 0.3972 0.2500 0.9643 1

***

[3]
# CuAu2Cl | Alexandria via LeMat-Bulk | GGA-PBE | relaxed
# total moment	0.00	μB per cell
# formation energy from raw total energies	-0.01	eV per formula unit
# DOS(E_F)	1.26	states/eV/cell
# energy above the lowest structure with this stoichiometry	0.034	eV/atom
data_CuAu2Cl
_space_group_name_H-M_alt 'P 1'
_space_group_IT_number 1
_cell_length_a 3.0909
_cell_length_b 4.7922
_cell_length_c 6.2419
_cell_angle_alpha 84.44
_cell_angle_beta 86.10
_cell_angle_gamma 72.08
loop_
_space_group_symop_operation_xyz
'x,y,z'
loop_
_atom_site_label
_atom_site_type_symbol
_atom_site_fract_x
_atom_site_fract_y
_atom_site_fract_z
_atom_site_occupancy
Cu1 Cu 0.0000 0.0000 0.0000 1
Au1 Au 0.2680 0.4267 0.1578 1
Au2 Au 0.5344 0.8489 0.3438 1
Cl1 Cl 0.5070 0.0392 0.7185 1

***

Ρ values, unit g/cm3, following the record order: 5.6; 8.7; 9.4.